No. 1
Material: Cs2P4Se5
Method: DFT, PBE
State: relaxed

Structure (POSCAR):
```
Cs2P4Se5
1.0
7.379 0.000 0.000
3.465 6.847 0.000
2.645 1.953 8.536
Cs P Se
2 4 5
Direct
0.223 0.401 0.265
0.777 0.599 0.735
0.112 0.879 0.754
0.132 0.949 0.052
0.868 0.051 0.948
0.888 0.121 0.246
0.000 0.000 0.500
0.271 0.076 0.792
0.275 0.558 0.831
0.725 0.442 0.169
0.729 0.924 0.208
```

Calculated density in g cm⁻³: 3.02
E_form (uncorrected) in eV/atom: -0.33
Total magnetization in μB per atom: 0.000

No. 2
Material: CsPSe6
Method: DFT, PBE
State: relaxed

Structure (POSCAR):
```
CsPSe6
1.0
7.210 0.000 0.000
0.000 12.951 0.000
-7.137 0.000 11.558
Cs P Se
4 4 24
Direct
0.000 0.003 0.000
0.000 0.997 0.500
0.012 0.479 0.251
0.012 0.521 0.751
0.509 0.160 0.250
0.509 0.840 0.750
0.512 0.348 0.750
0.512 0.652 0.250
0.234 0.247 0.732
0.234 0.753 0.232
0.235 0.265 0.115
0.235 0.735 0.615
0.355 0.074 0.326
0.355 0.435 0.589
0.355 0.565 0.089
0.355 0.926 0.826
0.423 0.176 0.924
0.423 0.824 0.424
0.426 0.331 0.027
0.426 0.669 0.527
0.596 0.176 0.575
0.596 0.824 0.075
0.598 0.331 0.474
0.598 0.669 0.974
0.660 0.072 0.173
0.660 0.928 0.673
0.671 0.435 0.912
0.671 0.565 0.412
0.787 0.263 0.385
0.787 0.737 0.885
0.788 0.246 0.768
0.788 0.754 0.268
```

Calculated density in g cm⁻³: 3.92
E_form (uncorrected) in eV/atom: -0.36
Total magnetization in μB per atom: 0.000

No. 3
Material: CsPSe
Method: DFT, PBE
State: relaxed

Structure (POSCAR):
```
CsPSe
1.0
5.146 -3.427 0.000
5.146 3.427 0.000
-4.064 0.000 6.547
Cs P Se
2 2 2
Direct
0.198 0.198 0.281
0.802 0.802 0.719
0.426 0.426 0.054
0.574 0.574 0.946
0.192 0.192 0.773
0.808 0.808 0.227
```

Calculated density in g cm⁻³: 3.49
E_form (uncorrected) in eV/atom: -0.64
Total magnetization in μB per atom: 0.000
Excess energy over the best structure of this formula in the dataset in meV/atom: 0.0

No. 4
Material: Cs3P2Se8
Method: DFT, PBE
State: relaxed

Structure (POSCAR):
```
Cs3P2Se8
1.0
3.516 2.030 11.632
-3.516 2.030 11.632
0.000 -4.060 11.632
Cs P Se
3 2 8
Direct
0.000 0.000 0.000
0.200 0.200 0.200
0.800 0.800 0.800
0.410 0.410 0.410
0.590 0.590 0.590
0.225 0.742 0.742
0.258 0.258 0.775
0.258 0.775 0.258
0.347 0.347 0.347
0.653 0.653 0.653
0.742 0.225 0.742
0.742 0.742 0.225
0.775 0.258 0.258
```

Calculated density in g cm⁻³: 3.64
E_form (uncorrected) in eV/atom: -0.47
Total magnetization in μB per atom: 0.000

No. 5
Material: CsPSe2
Method: DFT, PBE
State: relaxed

Structure (POSCAR):
```
CsPSe2
1.0
6.782 0.000 0.000
0.000 7.275 0.000
-5.376 0.000 12.805
Cs P Se
4 4 8
Direct
0.217 0.139 0.184
0.217 0.361 0.684
0.783 0.639 0.316
0.783 0.861 0.816
0.264 0.601 0.982
0.264 0.899 0.482
0.736 0.101 0.518
0.736 0.399 0.018
0.202 0.638 0.127
0.202 0.862 0.627
0.372 0.202 0.469
0.372 0.298 0.969
0.628 0.702 0.031
0.628 0.798 0.531
0.798 0.138 0.373
0.798 0.362 0.873
```

Calculated density in g cm⁻³: 3.38
E_form (uncorrected) in eV/atom: -0.59
Total magnetization in μB per atom: 0.000

No. 6
Material: Cs2PSe3
Method: DFT, PBE
State: relaxed

Structure (POSCAR):
```
Cs2PSe3
1.0
3.855 -7.261 0.000
3.855 7.261 0.000
0.000 0.000 17.245
Cs P Se
8 4 12
Direct
0.069 0.931 0.843
0.144 0.856 0.423
0.356 0.644 0.923
0.431 0.569 0.343
0.569 0.431 0.657
0.644 0.356 0.077
0.856 0.144 0.577
0.931 0.069 0.157
0.246 0.754 0.667
0.254 0.746 0.167
0.746 0.254 0.833
0.754 0.246 0.333
0.030 0.470 0.750
0.098 0.902 0.633
0.163 0.837 0.063
0.337 0.663 0.563
0.402 0.598 0.133
0.470 0.030 0.250
0.530 0.970 0.750
0.598 0.402 0.867
0.663 0.337 0.437
0.837 0.163 0.937
0.902 0.098 0.367
0.970 0.530 0.250
```

Calculated density in g cm⁻³: 3.67
E_form (uncorrected) in eV/atom: -0.78
Total magnetization in μB per atom: 0.000

No. 7
Material: CsP2Se2
Method: DFT, PBE
State: relaxed

Structure (POSCAR):
```
CsP2Se2
1.0
9.533 0.000 0.000
0.000 9.533 0.000
0.000 0.000 3.459
Cs P Se
2 4 4
Direct
0.000 0.000 0.000
0.500 0.500 0.000
0.233 0.267 0.500
0.267 0.767 0.500
0.733 0.233 0.500
0.767 0.733 0.500
0.152 0.652 0.000
0.348 0.152 0.000
0.652 0.848 0.000
0.848 0.348 0.000
```

Calculated density in g cm⁻³: 3.73
E_form (uncorrected) in eV/atom: -0.11
Total magnetization in μB per atom: 0.000
Excess energy over the best structure of this formula in the dataset in meV/atom: 0.0

No. 8
Material: CsPSe3
Method: DFT, PBE
State: relaxed

Structure (POSCAR):
```
CsPSe3
1.0
5.132 0.000 0.000
0.000 5.132 0.000
0.000 0.000 5.132
Cs P Se
1 1 3
Direct
0.000 0.000 0.000
0.500 0.500 0.500
0.000 0.500 0.500
0.500 0.000 0.500
0.500 0.500 0.000
```

Calculated density in g cm⁻³: 4.92
E_form (uncorrected) in eV/atom: -0.11
Total magnetization in μB per atom: 0.000

What is the calculated density in the third record? 3.49 g cm⁻³